VASP calculation (PBE-GGA) on a geometry-optimized Rb3Sr2S2I3 structure.

Cell and atoms, written as extended XYZ:
```
10
Lattice="-2.758 2.758 15.451 2.758 -2.758 15.451 2.758 2.758 -15.451" Properties=species:S:1:pos:R:3 pbc="T T T"
Rb 0.000 0.000 0.000
Rb 0.000 0.000 11.834
Rb 0.000 0.000 19.068
Sr 2.758 0.000 7.725
Sr 0.000 2.758 7.725
S 0.000 0.000 8.599
S 0.000 0.000 22.303
I 0.000 0.000 3.880
I 0.000 0.000 15.451
I 0.000 0.000 27.022
```

Crystal system: tetragonal
Raw formation energy (eV/atom): -1.61
DFT total energy (eV/atom): -3.524
SG: No. 139

=====

VASP calculation (PBE-GGA) on a geometry-optimized Rb2TaSI6 structure.

Cell and atoms, written as extended XYZ:
```
10
Lattice="-4.519 4.519 5.478 4.519 -4.519 5.478 4.519 4.519 -5.478" Properties=species:S:1:pos:R:3 pbc="T T T"
Rb 4.519 0.000 2.739
Rb 0.000 4.519 2.739
Ta 0.000 0.000 0.000
S 0.000 0.000 5.478
I 1.990 1.990 0.000
I 2.529 -2.529 5.478
I 0.000 0.000 2.794
I 0.000 0.000 8.163
I -2.529 2.529 5.478
I 2.529 2.529 5.478
```

Crystal system: tetragonal
Raw formation energy (eV/atom): -0.54
DFT total energy (eV/atom): -3.266
SG: No. 139

=====

VASP calculation (PBE-GGA) on a geometry-optimized Rb2TiSI structure.

Cell and atoms, written as extended XYZ:
```
5
Lattice="6.680 0.000 0.000 0.000 6.680 0.000 0.000 0.000 5.182" Properties=species:S:1:pos:R:3 pbc="T T T"
Rb 0.000 3.340 0.000
Rb 3.340 0.000 0.000
Ti 0.000 0.000 0.000
S 3.340 3.340 2.591
I 0.000 0.000 2.591
```

Crystal system: tetragonal
Raw formation energy (eV/atom): 0.23
Energy above the most stable polymorph in this dataset (meV per atom): 931
DFT total energy (eV/atom): -2.871
SG: No. 123

=====

VASP calculation (PBE-GGA) on a geometry-optimized Rb2TiSI structure.

Cell and atoms, written as extended XYZ:
```
5
Lattice="6.644 0.000 0.000 0.000 6.644 0.000 0.000 0.000 4.709" Properties=species:S:1:pos:R:3 pbc="T T T"
Rb 0.000 3.322 0.000
Rb 3.322 0.000 0.000
Ti 0.000 0.000 2.354
S 0.000 0.000 0.000
I 3.322 3.322 2.354
```

Crystal system: tetragonal
Raw formation energy (eV/atom): -0.70
Energy above the most stable polymorph in this dataset (meV per atom): 0
DFT total energy (eV/atom): -3.801
SG: No. 123

=====

VASP calculation (PBE-GGA) on a geometry-optimized Rb2TlSI6 structure.

Cell and atoms, written as extended XYZ:
```
10
Lattice="-4.275 4.275 5.975 4.275 -4.275 5.975 4.275 4.275 -5.975" Properties=species:S:1:pos:R:3 pbc="T T T"
Rb 4.275 0.000 2.988
Rb 0.000 4.275 2.988
Tl 0.000 0.000 0.000
S 0.000 0.000 5.975
I 2.181 2.181 0.000
I 2.094 -2.094 5.975
I 0.000 0.000 3.266
I 0.000 0.000 8.685
I -2.094 2.094 5.975
I 2.094 2.094 5.975
```

Crystal system: tetragonal
Raw formation energy (eV/atom): -0.58
DFT total energy (eV/atom): -2.356
SG: No. 139

=====

VASP calculation (PBE-GGA) on a geometry-optimized Rb2Tl2SI2 structure.

Cell and atoms, written as extended XYZ:
```
14
Lattice="14.486 0.000 0.000 0.000 4.951 0.000 -4.686 0.000 8.346" Properties=species:S:1:pos:R:3 pbc="T T T"
Rb -0.619 0.000 2.382
Rb 3.176 2.476 5.964
Rb 6.624 2.476 2.382
Rb 10.419 0.000 5.964
Tl 2.623 2.476 0.659
Tl -0.066 0.000 7.687
Tl 9.866 0.000 0.659
Tl 7.177 2.476 7.687
S 0.000 2.476 0.000
S 7.243 0.000 0.000
I -0.506 2.476 5.309
I 3.064 0.000 3.037
I 6.737 0.000 5.309
I 10.307 2.476 3.037
```

Crystal system: monoclinic
Raw formation energy (eV/atom): -0.91
DFT total energy (eV/atom): -2.895
SG: No. 12

=====

VASP calculation (PBE-GGA) on a geometry-optimized Rb2TlSI structure.

Cell and atoms, written as extended XYZ:
```
5
Lattice="6.383 0.000 0.000 0.000 6.383 0.000 0.000 0.000 5.917" Properties=species:S:1:pos:R:3 pbc="T T T"
Rb 0.000 3.192 0.000
Rb 3.192 0.000 0.000
Tl 0.000 0.000 2.959
S 0.000 0.000 0.000
I 3.192 3.192 2.959
```

Crystal system: tetragonal
Raw formation energy (eV/atom): -0.87
DFT total energy (eV/atom): -2.863
SG: No. 123

=====

VASP calculation (PBE-GGA) on a geometry-optimized RbUS3I structure.

Cell and atoms, written as extended XYZ:
```
12
Lattice="3.787 -11.806 0.000 3.787 11.806 0.000 -3.459 0.000 5.354" Properties=species:S:1:pos:R:3 pbc="T T T"
Rb 1.193 9.565 4.016
Rb 2.922 -9.565 1.339
U 2.922 4.790 1.339
U 1.193 -4.790 4.016
S -0.268 6.762 4.990
S 2.653 6.762 3.041
S 2.922 2.362 1.339
S 1.193 -2.362 4.016
S 1.462 -6.762 2.313
S 4.383 -6.762 0.364
I 1.193 3.585 4.016
I 2.922 -3.585 1.339
```

Crystal system: monoclinic
Raw formation energy (eV/atom): -1.01
DFT total energy (eV/atom): -5.370
SG: No. 15

=====

VASP calculation (PBE-GGA) on a geometry-optimized Rb2VSI6 structure.

Cell and atoms, written as extended XYZ:
```
10
Lattice="-4.443 4.443 5.401 4.443 -4.443 5.401 4.443 4.443 -5.401" Properties=species:S:1:pos:R:3 pbc="T T T"
Rb 4.443 0.000 2.701
Rb 0.000 4.443 2.701
V 0.000 0.000 0.000
S 0.000 0.000 5.401
I 1.951 1.951 0.000
I 2.492 -2.492 5.401
I 0.000 0.000 2.811
I 0.000 0.000 7.992
I -2.492 2.492 5.401
I 2.492 2.492 5.401
```

Crystal system: tetragonal
Raw formation energy (eV/atom): -0.55
DFT total energy (eV/atom): -2.999
SG: No. 139

=====

VASP calculation (PBE-GGA) on a geometry-optimized Rb2WSI6 structure.

Cell and atoms, written as extended XYZ:
```
10
Lattice="-4.497 4.497 5.404 4.497 -4.497 5.404 4.497 4.497 -5.404" Properties=species:S:1:pos:R:3 pbc="T T T"
Rb 4.497 0.000 2.702
Rb 0.000 4.497 2.702
W 0.000 0.000 0.000
S 0.000 0.000 5.404
I 1.972 1.972 0.000
I 2.525 -2.525 5.404
I 0.000 0.000 2.771
I 0.000 0.000 8.036
I -2.525 2.525 5.404
I 2.525 2.525 5.404
```

Crystal system: tetragonal
Raw formation energy (eV/atom): -0.36
DFT total energy (eV/atom): -3.192
SG: No. 139

=====

VASP calculation (PBE-GGA) on a geometry-optimized Rb2ZrSI6 structure.

Cell and atoms, written as extended XYZ:
```
10
Lattice="-4.620 4.620 5.463 4.620 -4.620 5.463 4.620 4.620 -5.463" Properties=species:S:1:pos:R:3 pbc="T T T"
Rb 4.620 0.000 2.732
Rb 0.000 4.620 2.732
Zr 0.000 0.000 0.000
S 0.000 0.000 5.463
I 2.046 2.046 0.000
I 2.574 -2.574 5.463
I 0.000 0.000 2.873
I 0.000 0.000 8.054
I -2.574 2.574 5.463
I 2.574 2.574 5.463
```

Crystal system: tetragonal
Raw formation energy (eV/atom): -0.80
DFT total energy (eV/atom): -3.192
SG: No. 139

=====

VASP calculation (PBE-GGA) on a geometry-optimized RbSb3I structure.

Cell and atoms, written as extended XYZ:
```
5
Lattice="5.963 0.000 0.000 0.000 5.963 0.000 0.000 0.000 5.963" Properties=species:S:1:pos:R:3 pbc="T T T"
Rb 0.000 0.000 0.000
Sb 0.000 2.981 2.981
Sb 2.981 0.000 2.981
Sb 2.981 2.981 0.000
I 2.981 2.981 2.981
```

Crystal system: cubic
Raw formation energy (eV/atom): 0.59
Energy above the most stable polymorph in this dataset (meV per atom): 0
DFT total energy (eV/atom): -2.388
SG: No. 221

=====

Q: What is the DFT total energy in the tenth record?
A: -3.192 eV/atom